# 1
Here is a relaxed La5GePb2 crystal from the Alexandria database. Energies are from PBE.

Unit cell a=8.637 b=13.050 c=4.820 alpha=90.00 beta=90.00 gamma=90.00
Space group Pbam (No. 55)
One atom of each set of equivalent atoms:
La: 0.000 0.000 0.000
La: 0.148 0.290 0.000
La: 0.195 0.567 0.500
Ge: 0.000 0.500 0.000
Pb: 0.077 0.827 0.500

## Properties
- DFT formation energy: -0.6173 eV/atom
- Fermi-level density of states: 20.5 states/eV per cell
- Energy: -5.2012 eV/atom

---

# 2
Here is a relaxed Pm3Sm2Y5 crystal from the Alexandria database. Energies are from PBE.

Unit cell a=10.803 b=16.381 c=9.335 alpha=90.00 beta=125.30 gamma=90.00
Space group C2/c (No. 15)
One atom of each set of equivalent atoms:
Pm: 0.000 0.227 0.250
Pm: 0.150 0.125 0.049
Sm: 0.146 0.376 0.544
Y: 0.000 0.025 0.250
Y: 0.000 0.273 0.750
Y: 0.000 0.474 0.750
Y: 0.248 0.121 0.750

## Properties
- DFT formation energy: 0.1773 eV/atom
- Fermi-level density of states: 71.6 states/eV per cell
- Energy: -5.4238 eV/atom

---

# 3
Here is a relaxed Cd2AgIr crystal from the Alexandria database. Energies are from PBE.

Unit cell a=4.326 b=4.326 c=7.676 alpha=90.00 beta=90.00 gamma=90.00
Space group I4/mmm (No. 139)
One atom of each set of equivalent atoms:
Cd: 0.000 0.500 0.250
Ag: 0.000 0.000 0.000
Ir: 0.000 0.000 0.500

## Properties
- DFT formation energy: 0.1068 eV/atom
- Fermi-level density of states: 2.7 states/eV per cell
- Energy: -3.2788 eV/atom

---

# 4
Here is a relaxed BaBIr2Pb crystal from the Alexandria database. Energies are from PBE.

Unit cell a=4.381 b=4.381 c=5.341 alpha=90.00 beta=90.00 gamma=90.00
Space group P4/mmm (No. 123)
One atom of each set of equivalent atoms:
Ba: 0.000 0.000 0.000
B: 0.000 0.000 0.500
Ir: 0.000 0.500 0.500
Pb: 0.500 0.500 0.000

## Properties
- DFT formation energy: 0.3708 eV/atom
- Fermi-level density of states: 2.6 states/eV per cell
- Energy: -5.6353 eV/atom

---

# 5
Here is a relaxed YFeRu2 crystal from the Alexandria database. Energies are from PBE.

Unit cell a=3.132 b=3.132 c=6.825 alpha=90.00 beta=90.00 gamma=90.00
Space group P4mm (No. 99)
One atom of each set of equivalent atoms:
Y: 0.000 0.000 0.000
Fe: 0.500 0.500 0.305
Ru: 0.000 0.000 0.482
Ru: 0.500 0.500 0.706

## Properties
- DFT formation energy: 0.1956 eV/atom
- Fermi-level density of states: 4.8 states/eV per cell
- Energy: -8.1740 eV/atom

---

# 6
Here is a relaxed NiTe2Ir crystal from the Alexandria database. Energies are from PBE.

Unit cell a=5.798 b=5.798 c=11.735 alpha=90.00 beta=90.00 gamma=90.00
Space group I-42d (No. 122)
One atom of each set of equivalent atoms:
Ni: 0.000 0.000 0.000
Te: 0.237 0.250 0.125
Ir: 0.000 0.000 0.500

## Properties
- Formation energy (no corrections): 0.0847 eV per atom
- Fermi-level density of states: 11.8 states/eV per cell
- Energy: -5.1467 eV/atom

---

# 7
Here is a relaxed BaMg2Au4 crystal from the Alexandria database. Energies are from PBE.

Unit cell a=3.896 b=4.567 c=18.754 alpha=90.00 beta=90.00 gamma=90.00
Space group Immm (No. 71)
One atom of each set of equivalent atoms:
Ba: 0.000 0.000 0.000
Mg: 0.000 0.500 0.188
Au: 0.000 0.000 0.421
Au: 0.000 0.500 0.331

## Properties
- DFT formation energy: -0.5449 eV/atom
- Fermi-level density of states: 4.7 states/eV per cell
- Energy: -3.1480 eV/atom

---

# 8
Here is a relaxed U2CoOs crystal from the Alexandria database. Energies are from PBE.

Unit cell a=3.9257 b=3.9257 c=17.4860 alpha=90.00 beta=90.00 gamma=120.00
Space group R-3m (No. 166, hexagonal axes)
One atom of each set of equivalent atoms:
U: 0.0000 0.0000 0.2448
Co: 0.0000 0.0000 0.5000
Os: 0.0000 0.0000 0.0000

## Properties
- DFT formation energy: 0.0720 eV/atom
- Fermi-level density of states: 20.7 states/eV per cell
- Energy: -10.1560 eV/atom

---

# 9
Here is a relaxed TlSnPbSe3 crystal from the Alexandria database. Energies are from PBE.

Unit cell a=7.997 b=4.963 c=9.757 alpha=90.00 beta=102.72 gamma=90.00
Space group P2_1/m (No. 11)
One atom of each set of equivalent atoms:
Tl: 0.245 0.250 0.257
Sn: 0.149 0.250 0.632
Pb: 0.310 0.750 0.905
Se: 0.049 0.250 0.871
Se: 0.204 0.750 0.542
Se: 0.494 0.750 0.195

## Properties
- Formation energy (no corrections): -0.3832 eV per atom
- Fermi-level density of states: 1.4 states/eV per cell
- Energy: -3.8050 eV/atom

---

# 10
Here is a relaxed InW2Se crystal from the Alexandria database. Energies are from PBE.

Unit cell a=3.205 b=4.806 c=9.713 alpha=90.00 beta=90.00 gamma=90.00
Space group Imm2 (No. 44)
One atom of each set of equivalent atoms:
In: 0.000 0.000 0.000
W: 0.000 0.000 0.507
W: 0.000 0.500 0.214
Se: 0.000 0.500 0.784

## Properties
- Formation energy (no corrections): 0.6407 eV per atom
- Fermi-level density of states: 5.8 states/eV per cell
- Energy: -7.3916 eV/atom

---

# 11
Here is a relaxed Cu2RePt crystal from the Alexandria database. Energies are from PBE.

Unit cell a=5.355 b=7.866 c=2.625 alpha=90.00 beta=90.00 gamma=90.00
Space group Cmmm (No. 65)
One atom of each set of equivalent atoms:
Cu: 0.250 0.250 0.000
Re: 0.000 0.000 0.500
Pt: 0.000 0.500 0.500

## Properties
- DFT formation energy: 0.2433 eV/atom
- Fermi-level density of states: 7.8 states/eV per cell
- Energy: -6.4270 eV/atom

---

# 12
Here is a relaxed Ac3NiAg crystal from the Alexandria database. Energies are from PBE.

Unit cell a=4.196 b=15.318 c=10.673 alpha=90.00 beta=90.00 gamma=90.00
Space group Amm2 (No. 38)
One atom of each set of equivalent atoms:
Ac: 0.000 0.123 0.000
Ac: 0.000 0.123 0.380
Ac: 0.500 0.174 0.690
Ni: 0.500 0.250 0.440
Ag: 0.000 0.000 0.690
Ag: 0.500 0.000 0.190

## Properties
- DFT formation energy: -0.1411 eV/atom
- Fermi-level density of states: 20.2 states/eV per cell
- Energy: -4.3326 eV/atom